[1]
Here is a geometry-optimized LaHgSe structure from Alexandria via LeMat-Bulk. Energies are from PBE.

Properties
**Relative energy among the computed polymorphs**: 8.3 meV per atom
**Uncorrected energy**: -4.188 eV per atom
**Crystal system**: monoclinic

abc: 4.289 4.355 9.009
angles: 90.00 99.58 90.00
Element x y z (fractional)
Hg1 0.222 0.750 0.975
Hg2 0.778 0.250 0.025
Se1 0.801 0.750 0.649
Se2 0.199 0.250 0.351
La1 0.317 0.250 0.692
La2 0.683 0.750 0.308

---

[2]
Here is a geometry-optimized La5HgSe4 structure from Alexandria via LeMat-Bulk. Energies are from PBE.

Properties
**Uncorrected energy**: -5.568 eV per atom
**Crystal system**: tetragonal

abc: 6.172 7.562 7.562
angles: 80.41 65.91 65.91
Element x y z (fractional)
Se1 0.603 0.597 0.199
Se2 0.399 0.403 0.801
Se3 0.200 0.199 0.403
Se4 0.802 0.801 0.597
La1 0.309 0.795 0.589
La2 0.898 0.411 0.795
La3 0.104 0.589 0.205
La4 0.501 0.000 0.000
La5 0.693 0.205 0.411
Hg1 0.001 0.000 0.000

---

[3]
Here is a geometry-optimized LaHgSe2 structure from Alexandria via LeMat-Bulk. Energies are from PBE.

Properties
**Uncorrected energy**: -4.281 eV per atom
**Crystal system**: orthorhombic

abc: 4.368 4.090 6.297
angles: 71.06 90.00 90.00
Element x y z (fractional)
Se1 0.500 0.236 0.402
Se2 0.000 0.981 0.914
Hg1 0.000 0.747 0.380
La1 0.500 0.536 0.804

---

[4]
Here is a geometry-optimized LaHgSe2 structure from Alexandria via LeMat-Bulk. Energies are from PBE.

Properties
**Uncorrected energy**: -4.154 eV per atom
**Crystal system**: trigonal

abc: 7.506 7.506 7.506
angles: 34.56 34.56 34.56
Element x y z (fractional)
Se1 0.009 0.009 0.009
Se2 0.491 0.491 0.491
La1 0.750 0.750 0.750
Hg1 0.250 0.250 0.250

---

[5]
Here is a geometry-optimized La2HgSe structure from Alexandria via LeMat-Bulk. Energies are from PBE.

Properties
**Relative energy among the computed polymorphs**: 185.9 meV per atom
**Uncorrected energy**: -4.430 eV per atom
**Crystal system**: orthorhombic

abc: 8.133 5.465 3.721
angles: 89.99 62.79 126.04
Element x y z (fractional)
La1 0.000 0.000 0.000
La2 0.500 0.000 0.500
Hg1 0.500 0.500 0.000
Se1 0.000 0.500 0.500

---

[6]
Here is a geometry-optimized La2HgSe structure from Alexandria via LeMat-Bulk. Energies are from PBE.

Properties
**Relative energy among the computed polymorphs**: 293.1 meV per atom
**Uncorrected energy**: -4.323 eV per atom
**Crystal system**: tetragonal

abc: 5.564 5.564 5.564
angles: 125.07 125.07 81.42
Element x y z (fractional)
La1 0.000 0.000 0.000
La2 0.500 0.500 0.000
Hg1 0.750 0.250 0.500
Se1 0.250 0.750 0.500

---

[7]
Here is a geometry-optimized LaHgSe structure from Alexandria via LeMat-Bulk. Energies are from PBE.

Properties
**Relative energy among the computed polymorphs**: 243.3 meV per atom
**Uncorrected energy**: -3.953 eV per atom
**Crystal system**: triclinic

abc: 3.850 3.869 6.303
angles: 90.11 107.29 89.98
Element x y z (fractional)
Hg1 0.132 0.012 0.030
La1 0.823 0.515 0.407
Se1 0.425 0.016 0.617

---

[8]
Here is a geometry-optimized LaHg2Se2 structure from Alexandria via LeMat-Bulk. Energies are from PBE.

Properties
**Relative energy among the computed polymorphs**: 180.0 meV per atom
**Uncorrected energy**: -3.127 eV per atom
**Crystal system**: tetragonal

abc: 7.795 7.795 4.605
angles: 90.00 90.00 90.00
Element x y z (fractional)
Se1 0.844 0.656 0.000
Se2 0.156 0.344 0.000
Se3 0.656 0.156 0.000
Se4 0.344 0.844 0.000
La1 0.500 0.500 0.000
La2 0.000 0.000 0.000
Hg1 0.149 0.649 0.500
Hg2 0.851 0.351 0.500
Hg3 0.351 0.149 0.500
Hg4 0.649 0.851 0.500

---

[9]
Here is a geometry-optimized La2HgSe structure from Alexandria via LeMat-Bulk. Energies are from PBE.

Properties
**Relative energy among the computed polymorphs**: 145.4 meV per atom
**Uncorrected energy**: -4.471 eV per atom
**Crystal system**: monoclinic

abc: 6.326 6.326 4.910
angles: 90.05 90.05 36.79
Element x y z (fractional)
Hg1 0.259 0.259 0.125
La1 0.752 0.752 0.625
La2 0.001 0.001 0.125
Se1 0.488 0.488 0.625

---

[10]
Here is a geometry-optimized LaHgSe structure from Alexandria via LeMat-Bulk. Energies are from PBE.

Properties
**Relative energy among the computed polymorphs**: 629.8 meV per atom
**Uncorrected energy**: -3.567 eV per atom
**Crystal system**: cubic

abc: 5.061 5.061 5.061
angles: 60.00 60.00 60.00
Element x y z (fractional)
Se1 0.500 0.500 0.500
Hg1 0.250 0.250 0.250
La1 0.000 0.000 0.000

---

[11]
Here is a geometry-optimized La2HgSe structure from Alexandria via LeMat-Bulk. Energies are from PBE.

Properties
**Relative energy among the computed polymorphs**: 334.5 meV per atom
**Uncorrected energy**: -4.282 eV per atom
**Crystal system**: tetragonal

abc: 8.220 8.220 6.939
angles: 53.68 53.68 90.00
Element x y z (fractional)
Hg1 0.750 0.250 0.500
Hg2 0.000 0.000 0.000
Se1 0.250 0.750 0.500
Se2 0.500 0.500 0.000
La1 0.875 0.856 0.750
La2 0.606 0.125 0.250
La3 0.375 0.394 0.750
La4 0.144 0.625 0.250

---

[12]
Here is a geometry-optimized LaHgSe structure from Alexandria via LeMat-Bulk. Energies are from PBE.

Properties
**Relative energy among the computed polymorphs**: 271.5 meV per atom
**Uncorrected energy**: -3.925 eV per atom
**Crystal system**: tetragonal

abc: 6.562 6.561 3.911
angles: 72.67 72.65 34.68
Element x y z (fractional)
Se1 0.706 0.706 0.294
Hg1 0.992 0.992 0.008
La1 0.302 0.302 0.698